1.
Computed, not measured: an optimized crystal structure of Sm5Ho2Tm at the GGA-PBE level of DFT.

Results
Formation energy from the elements   17 meV/atom
Volume   520.8 Å³ per cell
Final energy   -4.635 eV per atom

Unit cell a=7.173 b=14.349 c=5.060 alpha=90.00 beta=90.00 gamma=90.00
Space group Pbam (No. 55)
One atom of each set of equivalent atoms:
Sm: 0.000 0.000 0.000 (multiplicity 2)
Sm: 0.001 0.251 0.000 (multiplicity 4)
Sm: 0.249 0.624 0.500 (multiplicity 4)
Ho: 0.250 0.376 0.500 (multiplicity 4)
Tm: 0.000 0.500 0.000 (multiplicity 2)

2.
Computed, not measured: an optimized crystal structure of BeFe2Co at the GGA-PBE level of DFT.

Results
Formation energy from the elements   -66 meV/atom
Volume   83.4 Å³ per cell
Final energy   -7.005 eV per atom

Unit cell a=8.616 b=2.760 c=3.940 alpha=90.00 beta=117.08 gamma=90.00
Space group Cm (No. 8)
One atom of each set of equivalent atoms:
Be: 0.000 0.000 0.000 (multiplicity 2)
Fe: 0.251 0.000 0.751 (multiplicity 2)
Fe: 0.494 0.000 0.494 (multiplicity 2)
Co: 0.240 0.500 0.239 (multiplicity 2)

3.
Computed, not measured: an optimized crystal structure of PrGd2Bi at the GGA-PBE level of DFT.

Results
Formation energy from the elements   -401 meV/atom
Volume   126.2 Å³ per cell
Final energy   -9.607 eV per atom

Unit cell a=4.123 b=4.123 c=7.423 alpha=90.00 beta=90.00 gamma=90.00
Space group P4/mmm (No. 123)
One atom of each set of equivalent atoms:
Pr: 0.000 0.000 0.000 (multiplicity 1)
Gd: 0.500 0.500 0.280 (multiplicity 2)
Bi: 0.000 0.000 0.500 (multiplicity 1)

4.
Computed, not measured: an optimized crystal structure of AlTeSe2 at the GGA-PBE level of DFT.

Results
Uncorrected formation energy   -0.27 eV/atom
Volume   99.7 Å³ per cell
Final energy   -3.733 eV per atom

Unit cell a=5.133 b=3.496 c=5.682 alpha=90.00 beta=102.28 gamma=90.00
Space group P2/m (No. 10)
One atom of each set of equivalent atoms:
Al: 0.000 0.000 0.000 (multiplicity 1)
Te: 0.000 0.000 0.500 (multiplicity 1)
Se: 0.358 0.500 0.152 (multiplicity 2)

5.
Computed, not measured: an optimized crystal structure of Pr2Nd2DyTm2 at the GGA-PBE level of DFT.

Results
Formation energy from the elements   22 meV/atom
Volume   468.1 Å³ per cell
Final energy   -4.641 eV per atom

Unit cell a=11.436 b=5.114 c=8.088 alpha=90.00 beta=98.24 gamma=90.00
Space group C2/m (No. 12)
One atom of each set of equivalent atoms:
Pr: 0.071 0.000 0.220 (multiplicity 4)
Nd: 0.144 0.500 0.928 (multiplicity 4)
Dy: 0.000 0.500 0.500 (multiplicity 2)
Tm: 0.215 0.000 0.639 (multiplicity 4)

6.
Computed, not measured: an optimized crystal structure of Mo3Pt at the GGA-PBE level of DFT.

Results
Formation energy from the elements   -20 meV/atom
Volume   125.9 Å³ per cell
Final energy   -9.653 eV per atom

Unit cell a=9.386 b=2.721 c=4.979 alpha=90.00 beta=98.23 gamma=90.00
Space group C2/m (No. 12)
One atom of each set of equivalent atoms:
Mo: 0.000 0.000 0.000 (multiplicity 2)
Mo: 0.244 0.000 0.745 (multiplicity 4)
Pt: 0.000 0.500 0.500 (multiplicity 2)

7.
Computed, not measured: an optimized crystal structure of Ac3Si2Pd4 at the GGA-PBE level of DFT.

Results
Uncorrected formation energy   -0.85 eV/atom
Volume   439.1 Å³ per cell
Final energy   -5.733 eV per atom

Unit cell a=11.636 b=4.365 c=8.865 alpha=90.00 beta=102.80 gamma=90.00
Space group C2/m (No. 12)
One atom of each set of equivalent atoms:
Ac: 0.000 0.000 0.000 (multiplicity 2)
Ac: 0.168 0.500 0.670 (multiplicity 4)
Si: 0.107 0.500 0.284 (multiplicity 4)
Pd: 0.060 0.000 0.379 (multiplicity 4)
Pd: 0.214 0.500 0.076 (multiplicity 4)

8.
Computed, not measured: an optimized crystal structure of ZnPtI at the GGA-PBE level of DFT.

Results
Uncorrected formation energy   0.13 eV/atom
Volume   374.3 Å³ per cell
Final energy   -2.825 eV per atom

Unit cell a=9.871 b=4.823 c=7.861 alpha=90.00 beta=90.00 gamma=90.00
Space group Amm2 (No. 38)
One atom of each set of equivalent atoms:
Zn: 0.000 0.000 0.000 (multiplicity 2)
Zn: 0.500 0.000 0.001 (multiplicity 2)
Pt: 0.250 0.000 0.001 (multiplicity 4)
I: 0.250 0.000 0.645 (multiplicity 4)